1.
Here is CsCu6P2 after structural relaxation from the Alexandria database. Energies are from PBE.

Unit cell a=4.1483 b=4.1483 c=9.5732 alpha=90.00 beta=90.00 gamma=90.00
Space group P4/mmm (No. 123)
Asymmetric unit:
Cs 0.0000 0.0000 0.0000 x1
Cu 0.0000 0.0000 0.5000 x1
Cu 0.0000 0.5000 0.3430 x4
Cu 0.5000 0.5000 0.5000 x1
P 0.5000 0.5000 0.2452 x2

Computed properties:
* density: 5.8 g/cm3
* energy: -4.167 eV per atom
* DFT formation energy: -0.140 eV/atom
* DOS at the Fermi energy: 0.532 states/eV/atom

=====

2.
Here is CsCuP3 after structural relaxation from the Alexandria database. Energies are from PBE.

Unit cell a=5.4863 b=5.4863 c=5.4863 alpha=90.00 beta=90.00 gamma=90.00
Space group Pm-3m (No. 221)
Asymmetric unit:
Cs 0.0000 0.0000 0.0000 x1
Cu 0.5000 0.5000 0.5000 x1
P 0.0000 0.0000 0.5000 x3

Computed properties:
* density: 2.9 g/cm3
* energy: -1.831 eV per atom
* DFT formation energy: 2.405 eV/atom
* DOS at the Fermi energy: 1.238 states/eV/atom

=====

3.
Here is Cs4CuP2 after structural relaxation from the Alexandria database. Energies are from PBE.

Unit cell a=6.1416 b=6.1416 c=27.6937 alpha=90.00 beta=90.00 gamma=120.00
Space group R-3m (No. 166, hexagonal axes)
Asymmetric unit:
Cs 0.0000 0.0000 0.1245 x6
Cs 0.0000 0.0000 0.2915 x6
Cu 0.0000 0.0000 0.5000 x3
P 0.0000 0.0000 0.4210 x6

Computed properties:
* density: 3.6 g/cm3
* energy: -2.860 eV per atom
* DFT formation energy: -0.242 eV/atom
* DOS at the Fermi energy: 0.875 states/eV/atom

=====

4.
Here is CsCu2P after structural relaxation from the Alexandria database. Energies are from PBE.

Unit cell a=4.1587 b=4.1587 c=12.7117 alpha=90.00 beta=90.00 gamma=120.00
Space group P6_3/mmc (No. 194)
Asymmetric unit:
Cs 0.3333 0.6667 0.2500 x2
Cu 0.3333 0.6667 0.5173 x4
P 0.0000 0.0000 0.0000 x2

Computed properties:
* density: 5.1 g/cm3
* energy: -3.743 eV per atom
* DFT formation energy: -0.129 eV/atom
* DOS at the Fermi energy: 0.271 states/eV/atom

=====

5.
Here is CsCu2P after structural relaxation from the Alexandria database. Energies are from PBE.

Unit cell a=4.1479 b=4.1479 c=19.0861 alpha=90.00 beta=90.00 gamma=120.00
Space group R-3m (No. 166, hexagonal axes)
Asymmetric unit:
Cs 0.0000 0.0000 0.0000 x3
Cu 0.0000 0.0000 0.1791 x6
P 0.0000 0.0000 0.5000 x3

Computed properties:
* density: 5.1 g/cm3
* energy: -3.744 eV per atom
* DFT formation energy: -0.130 eV/atom
* DOS at the Fermi energy: 0.335 states/eV/atom

=====

6.
Here is CsCu2P after structural relaxation from the Alexandria database. Energies are from PBE.

Unit cell a=5.8198 b=5.8198 c=13.2850 alpha=90.00 beta=90.00 gamma=90.00
Space group I4_1/amd (No. 141, origin choice 2)
Asymmetric unit:
Cs 0.0000 0.2500 0.3750 x4
Cu 0.0000 0.0000 0.0000 x8
P 0.0000 0.2500 0.8750 x4

Computed properties:
* density: 4.3 g/cm3
* energy: -3.821 eV per atom
* DFT formation energy: -0.207 eV/atom
* DOS at the Fermi energy: 0.000 states/eV/atom

=====

> Which of these has the highest DFT formation energy?

CsCuP3

=====

> What is the DOS at the Fermi energy in the first record?

0.532 states/eV/atom

=====

Repeat the second record exactly.
Here is CsCuP3 after structural relaxation from the Alexandria database. Energies are from PBE.

Unit cell a=5.4863 b=5.4863 c=5.4863 alpha=90.00 beta=90.00 gamma=90.00
Space group Pm-3m (No. 221)
Asymmetric unit:
Cs 0.0000 0.0000 0.0000 x1
Cu 0.5000 0.5000 0.5000 x1
P 0.0000 0.0000 0.5000 x3

Computed properties:
* density: 2.9 g/cm3
* energy: -1.831 eV per atom
* DFT formation energy: 2.405 eV/atom
* DOS at the Fermi energy: 1.238 states/eV/atom

=====

> Among the records above, which one has the lowest DOS at the Fermi energy?

number 6